Model P:
Here is Na2TiW after structural relaxation from Alexandria. Energies are from PBE-GGA.

```
8
Lattice="8.2814 0.0000 0.0000 0.0000 8.2814 0.0000 4.1407 4.1407 2.4792" Properties=species:S:1:pos:R:3 pbc="T T T"
Na 6.1870 2.0704 0.6198
Na 2.0944 6.2111 0.6198
Na 6.2111 6.2351 1.8594
Na 10.3518 10.3277 1.8594
W 0.0000 0.0000 0.0000
W 8.2814 4.1407 1.2396
Ti 4.1407 4.1407 0.0000
Ti 4.1407 8.2814 1.2396
```

***

Model Q:
Here is Na2TiW after structural relaxation from Alexandria. Energies are from PBE-GGA.

```
4
Lattice="0.0000 3.4539 3.4539 3.4539 0.0000 3.4539 3.4539 3.4539 0.0000" Properties=species:S:1:pos:R:3 pbc="T T T"
Na 1.7269 1.7269 1.7269
Na 5.1808 5.1808 5.1808
W 3.4539 3.4539 3.4539
Ti 0.0000 0.0000 0.0000
```

***

Of them, the most stable is model P and the least stable is model Q.